(1)
Density functional theory data (SCAN) for a crystal of NaCrCo3 relaxed with PBEsol.

abc: 4.2459 4.2459 4.2459
angles: 90.00 90.00 90.00
Each line ends with the local moment (μB).
Fractional coordinates of all 5 atoms:
Cr1 0.5000 0.5000 0.5000  3.76
Co1 0.0000 0.5000 0.0000  1.87
Co2 0.0000 0.0000 0.5000  1.87
Co3 0.5000 0.0000 0.0000  1.87
Na1 0.0000 0.0000 0.0000  -0.07

## Properties
- Calculated formation energy: 46.803 kcal/mol of atoms
- Energy relative to the lowest polymorph listed for this composition: 845 meV/atom
- Spin magnetization: 9.51 Bohr magnetons per cell

---

(2)
Density functional theory data (SCAN) for a crystal of NaCrCo3 relaxed with PBEsol.

abc: 4.1914 4.1914 4.1914
angles: 90.00 90.00 90.00
Each line ends with the local moment (μB).
Fractional coordinates of all 5 atoms:
Cr1 0.0000 0.0000 0.0000  -0.60
Co1 0.0000 0.5000 0.0000  0.88
Co2 0.0000 0.0000 0.5000  0.88
Co3 0.5000 0.0000 0.0000  0.88
Na1 0.5000 0.5000 0.5000  -0.01

## Properties
- Calculated formation energy: 27.308 kcal/mol of atoms
- Energy relative to the lowest polymorph listed for this composition: 0 meV/atom
- Spin magnetization: 1.98 Bohr magnetons per cell

---

(3)
Density functional theory data (SCAN) for a crystal of NaCrCoSn2 relaxed with PBEsol.

abc: 4.7656 4.7656 4.9933
angles: 90.00 90.00 90.00
Each line ends with the local moment (μB).
Fractional coordinates of all 5 atoms:
Cr1 0.5000 0.5000 0.5000  4.32
Co1 0.0000 0.0000 0.0000  0.62
Sn1 0.0000 0.5000 0.0000  -0.04
Sn2 0.5000 0.0000 0.0000  -0.04
Na1 0.0000 0.0000 0.5000  -0.01

## Properties
- Calculated formation energy: 9.547 kcal/mol of atoms
- Spin magnetization: 5.50 Bohr magnetons per cell

---

(4)
Density functional theory data (SCAN) for a crystal of NaCrCo2Tc relaxed with PBEsol.

abc: 4.0927 4.0927 4.5226
angles: 90.00 90.00 90.00
Each line ends with the local moment (μB).
Fractional coordinates of all 5 atoms:
Cr1 0.0000 0.0000 0.0000  1.04
Co1 0.0000 0.5000 0.0000  0.82
Co2 0.5000 0.0000 0.0000  0.82
Tc1 0.5000 0.5000 0.5000  2.96
Na1 0.0000 0.0000 0.5000  0.02

## Properties
- Calculated formation energy: 40.414 kcal/mol of atoms
- Spin magnetization: 5.80 Bohr magnetons per cell

---

(5)
Density functional theory data (SCAN) for a crystal of CrCo2Ni relaxed with PBEsol.

abc: 3.4365 3.4365 4.2666
angles: 113.75 113.75 90.00
Each line ends with the local moment (μB).
Fractional coordinates of all 4 atoms:
Ni1 0.2500 0.7500 0.5000  0.13
Co1 0.5000 0.5000 0.0000  1.43
Co2 0.7500 0.2500 0.5000  1.14
Cr1 0.0000 0.0000 0.0000  0.50

## Properties
- Calculated formation energy: 2.901 kcal/mol of atoms
- Spin magnetization: 3.12 Bohr magnetons per cell

---

(6)
Density functional theory data (SCAN) for a crystal of CrCoNi relaxed with PBEsol.

abc: 2.4358 3.4661 4.2402
angles: 114.12 106.69 90.00
Each line ends with the local moment (μB).
Fractional coordinates of all 3 atoms:
Ni1 0.6659 0.6659 0.3318  0.06
Co1 0.9982 0.9982 0.9965  1.30
Cr1 0.3359 0.3359 0.6717  -0.88

## Properties
- Calculated formation energy: 2.825 kcal/mol of atoms
- Energy relative to the lowest polymorph listed for this composition: 0 meV/atom
- Spin magnetization: 0.45 Bohr magnetons per cell

---

(7)
Density functional theory data (SCAN) for a crystal of CrCo2Ni relaxed with PBEsol.

abc: 3.4797 3.4797 4.1921
angles: 114.52 114.52 90.00
Each line ends with the local moment (μB).
Fractional coordinates of all 4 atoms:
Ni1 0.5000 0.5000 0.0000  0.46
Co1 0.7500 0.2500 0.5000  1.34
Co2 0.2500 0.7500 0.5000  1.34
Cr1 0.0000 0.0000 0.0000  -2.36

## Properties
- Calculated formation energy: 2.467 kcal/mol of atoms
- Spin magnetization: 0.65 Bohr magnetons per cell

---

(8)
Density functional theory data (SCAN) for a crystal of CrCo2Ni relaxed with PBEsol.

abc: 2.4291 3.4994 4.8567
angles: 90.00 90.00 90.00
Each line ends with the local moment (μB).
Fractional coordinates of all 4 atoms:
Ni1 0.0000 0.5000 0.7530  0.45
Co1 0.5000 0.0000 0.0028  1.78
Co2 0.0000 0.5000 0.2502  1.23
Cr1 0.5000 0.0000 0.4940  0.61

## Properties
- Calculated formation energy: 3.279 kcal/mol of atoms
- Spin magnetization: 4.00 Bohr magnetons per cell

---

(9)
Density functional theory data (SCAN) for a crystal of CrCo2Ni relaxed with PBEsol.

abc: 2.4220 2.4220 7.0914
angles: 90.00 90.00 90.00
Each line ends with the local moment (μB).
Fractional coordinates of all 4 atoms:
Ni1 0.5000 0.5000 0.7516  0.47
Co1 0.0000 0.0000 0.0049  1.90
Co2 0.5000 0.5000 0.2459  1.47
Cr1 0.0000 0.0000 0.4976  -0.06

## Properties
- Calculated formation energy: 2.168 kcal/mol of atoms
- Spin magnetization: 3.69 Bohr magnetons per cell

---

(10)
Density functional theory data (SCAN) for a crystal of CrCoNi relaxed with PBEsol.

abc: 2.4330 2.4330 5.5356
angles: 102.70 102.70 90.00
Each line ends with the local moment (μB).
Fractional coordinates of all 3 atoms:
Ni1 0.6664 0.6664 0.3329  0.41
Co1 0.9971 0.9971 0.9942  1.50
Cr1 0.3364 0.3364 0.6728  -0.05

## Properties
- Calculated formation energy: 3.036 kcal/mol of atoms
- Energy relative to the lowest polymorph listed for this composition: 9 meV/atom
- Spin magnetization: 1.82 Bohr magnetons per cell

---

(11)
Density functional theory data (SCAN) for a crystal of CrCo2Ni relaxed with PBEsol.

abc: 2.4339 3.4287 4.9152
angles: 90.00 90.00 90.00
Each line ends with the local moment (μB).
Fractional coordinates of all 4 atoms:
Ni1 0.5000 0.5000 0.5000  0.59
Co1 0.0000 0.0000 0.7504  1.30
Co2 0.0000 0.0000 0.2496  1.30
Cr1 0.5000 0.5000 0.0000  -1.85

## Properties
- Calculated formation energy: 3.946 kcal/mol of atoms
- Spin magnetization: 1.20 Bohr magnetons per cell

---

(12)
Density functional theory data (SCAN) for a crystal of Cr3Co2O12 relaxed with PBEsol.

abc: 8.4200 8.6210 11.7570
angles: 90.00 90.82 90.00
Fractional coordinates of all 68 atoms:
Cr1 0.9709 0.2499 0.5111
Cr2 0.8954 0.3828 0.1470
Cr3 0.8924 0.1146 0.8580
Cr4 0.6046 0.8828 0.3530
Cr5 0.6076 0.6146 0.6420
Cr6 0.5291 0.7499 0.9889
Cr7 0.4709 0.2501 0.0111
Cr8 0.3924 0.3854 0.3580
Cr9 0.3954 0.1172 0.6470
Cr10 0.1076 0.8854 0.1420
Cr11 0.1046 0.6172 0.8530
Cr12 0.0291 0.7501 0.4889
Co1 0.7470 0.0311 0.1151
Co2 0.7530 0.5311 0.3849
Co3 0.7463 0.9694 0.6200
Co4 0.7537 0.4694 0.8800
Co5 0.2463 0.5306 0.1200
Co6 0.2537 0.0306 0.3800
Co7 0.2470 0.4689 0.6151
Co8 0.2530 0.9689 0.8849
O1 0.9180 0.8676 0.5632
O2 0.9163 0.8917 0.1065
O3 0.9227 0.6675 0.3837
O4 0.9169 0.5816 0.8183
O5 0.8983 0.3785 0.4207
O6 0.8783 0.1910 0.1580
O7 0.8577 0.4388 0.0161
O8 0.8560 0.9895 0.7547
O9 0.8480 0.2944 0.8213
O10 0.8258 0.1572 0.5745
O11 0.7750 0.4783 0.2329
O12 0.7250 0.9783 0.2671
O13 0.7752 0.0704 0.9649
O14 0.7248 0.5704 0.5351
O15 0.6742 0.6572 0.9255
O16 0.6520 0.7944 0.6787
O17 0.6423 0.9388 0.4839
O18 0.6440 0.4895 0.7453
O19 0.6217 0.6910 0.3420
O20 0.6017 0.8785 0.0793
O21 0.5773 0.1675 0.1163
O22 0.5837 0.3917 0.3935
O23 0.5831 0.0816 0.6817
O24 0.5820 0.3676 0.9368
O25 0.4180 0.6324 0.0632
O26 0.4169 0.9184 0.3183
O27 0.4163 0.6083 0.6065
O28 0.4227 0.8325 0.8837
O29 0.3983 0.1215 0.9207
O30 0.3783 0.3090 0.6580
O31 0.3560 0.5105 0.2547
O32 0.3577 0.0612 0.5161
O33 0.3480 0.2056 0.3213
O34 0.3258 0.3428 0.0745
O35 0.2752 0.4296 0.4649
O36 0.2248 0.9296 0.0351
O37 0.2750 0.0217 0.7329
O38 0.2250 0.5217 0.7671
O39 0.1742 0.8428 0.4255
O40 0.1520 0.7056 0.1787
O41 0.1440 0.0105 0.2453
O42 0.1423 0.5612 0.9839
O43 0.1217 0.8090 0.8420
O44 0.1017 0.6215 0.5793
O45 0.0831 0.4184 0.1817
O46 0.0773 0.3325 0.6163
O47 0.0837 0.1083 0.8935
O48 0.0820 0.1324 0.4368

## Properties
- Formation energy without anion corrections: -1.648 eV/atom
- Energy relative to the lowest polymorph listed for this composition: 0 meV/atom
- Spin magnetization: 0.00 Bohr magnetons per cell